(1)
Computed, not measured: a relaxed GeBiW4C2 crystal at the PBE level of DFT.

a b c (Å): 3.2051 3.2051 13.4435
angles (deg): 90.00 90.00 120.00
Space group P-6m2 (No. 187)
One atom of each set of equivalent atoms:
Ge 0.0000 0.0000 0.0000
Bi 0.6667 0.3333 0.5000
W 0.0000 0.0000 0.3064
W 0.6667 0.3333 0.1423
C 0.3333 0.6667 0.2314

***

(2)
Computed, not measured: a relaxed Zr4GeBiC2 crystal at the PBE level of DFT.

a b c (Å): 3.3983 3.3983 14.2635
angles (deg): 90.00 90.00 120.00
Space group P-6m2 (No. 187)
One atom of each set of equivalent atoms:
Zr 0.0000 0.0000 0.1511
Zr 0.3333 0.6667 0.3262
Ge 0.3333 0.6667 0.0000
Bi 0.0000 0.0000 0.5000
C 0.6667 0.3333 0.2396

***

Quick rundown of raw total energy, same order as above: -9.520, -8.379 eV per atom